(1)
Computed, not measured: a geometry-optimized MnCr2P structure at the GGA-PBE level of DFT.

```
data_MnCr2P
_chemical_formula_sum 'Mn2 Cr4 P2'
_cell_length_a 4.628
_cell_length_b 7.276
_cell_length_c 2.676
_cell_angle_alpha 90.00
_cell_angle_beta 90.00
_cell_angle_gamma 90.00
_symmetry_space_group_name_H-M 'C m m m'
_symmetry_Int_Tables_number 65
_symmetry_space_group_name_Hall '-C 2 2'
loop_
_atom_site_label
_atom_site_type_symbol
_atom_site_fract_x
_atom_site_fract_y
_atom_site_fract_z
Mn1 Mn 0.000 0.000 0.000
Cr1 Cr 0.250 0.250 0.500
P1 P 0.000 0.500 0.000
```

Calculated values
spin magnetization = 0.00 μB/cell
calculated volume = 45.0 Å³/f.u.
ΔE_f = -21.3 kJ/mol of formula units



(2)
Computed, not measured: a geometry-optimized Dy6InSe4 structure at the GGA-PBE level of DFT.

```
data_Dy6InSe4
_chemical_formula_sum 'Dy24 In4 Se16'
_cell_length_a 4.032
_cell_length_b 13.556
_cell_length_c 20.792
_cell_angle_alpha 90.00
_cell_angle_beta 90.00
_cell_angle_gamma 90.00
_symmetry_space_group_name_H-M 'C m c m'
_symmetry_Int_Tables_number 63
_symmetry_space_group_name_Hall '-C 2c 2'
loop_
_atom_site_label
_atom_site_type_symbol
_atom_site_fract_x
_atom_site_fract_y
_atom_site_fract_z
Dy1 Dy 0.000 0.000 0.000
Dy2 Dy 0.000 0.152 0.250
Dy3 Dy 0.000 0.271 0.590
Dy4 Dy 0.000 0.452 0.163
In1 In 0.000 0.172 0.750
Se1 Se 0.000 0.088 0.122
Se2 Se 0.000 0.360 0.038
```

Calculated values
spin magnetization = 0.00 μB/cell
calculated volume = 284.1 Å³/f.u.
total energy = -59.4 eV/f.u.



(3)
Computed, not measured: a geometry-optimized La6CoTcHg2 structure at the GGA-PBE level of DFT.

```
data_La6CoTcHg2
_chemical_formula_sum 'La6 Co1 Tc1 Hg2'
_cell_length_a 7.503
_cell_length_b 7.596
_cell_length_c 7.609
_cell_angle_alpha 119.62
_cell_angle_beta 119.22
_cell_angle_gamma 90.10
_symmetry_space_group_name_H-M 'P 1'
_symmetry_Int_Tables_number 1
loop_
_symmetry_equiv_pos_as_xyz
'x,y,z'
loop_
_atom_site_label
_atom_site_type_symbol
_atom_site_fract_x
_atom_site_fract_y
_atom_site_fract_z
La1 La 0.000 0.000 0.000
La2 La 0.066 0.978 0.518
La3 La 0.424 0.569 0.477
La4 La 0.491 0.559 0.996
La5 La 0.564 0.102 0.532
La6 La 0.921 0.450 0.468
Co1 Co 0.247 0.279 0.503
Tc1 Tc 0.742 0.804 0.541
Hg1 Hg 0.488 0.015 0.000
Hg2 Hg 0.992 0.539 0.003
```

Calculated values
spin magnetization = 0.00 μB/cell
calculated volume = 311.7 Å³/f.u.
ΔE_f = -202.0 kJ/mol of formula units